{"formula": "CsTmSeCl2O3", "functional": "GGA-PBE", "state": "optimized geometry", "lattice_angstrom": [[6.5959, 0.0000, 0.0154], [0.0000, 6.9094, 0.0000], [-2.7318, 0.0000, 17.1091]], "species": ["Cl", "Cl", "Cl", "Cl", "Cl", "Cl", "Cl", "Cl", "Cs", "Cs", "Cs", "Cs", "O", "O", "O", "O", "O", "O", "O", "O", "O", "O", "O", "O", "Se", "Se", "Se", "Se", "Tm", "Tm", "Tm", "Tm"], "fractional_positions": [[0.3193, 0.8388, 0.0896], [0.9823, 0.3110, 0.1087], [0.5177, 0.8110, 0.3913], [0.1807, 0.3388, 0.4104], [0.8193, 0.6612, 0.5896], [0.4823, 0.1890, 0.6087], [0.0177, 0.6890, 0.8913], [0.6807, 0.1612, 0.9104], [0.8060, 0.7897, 0.0538], [0.6940, 0.2897, 0.4462], [0.3060, 0.7103, 0.5538], [0.1940, 0.2103, 0.9462], [0.7130, 0.8252, 0.2262], [0.4165, 0.4987, 0.2351], [0.4215, 0.1442, 0.2443], [0.0785, 0.6442, 0.2557], [0.0835, 0.9987, 0.2649], [0.7870, 0.3252, 0.2738], [0.2130, 0.6748, 0.7262], [0.9165, 0.0013, 0.7351], [0.9215, 0.3558, 0.7443], [0.5785, 0.8558, 0.7557], [0.5835, 0.5013, 0.7649], [0.2870, 0.1748, 0.7738], [0.5721, 0.3171, 0.2061], [0.9279, 0.8171, 0.2939], [0.0721, 0.1829, 0.7061], [0.4279, 0.6829, 0.7939], [0.3761, 0.8211, 0.2419], [0.1239, 0.3211, 0.2581], [0.8761, 0.6789, 0.7419], [0.6239, 0.1789, 0.7581]], "volume_a3_per_atom": 24.38, "e_tot_ev_per_cell": -174.5, "sg": "P2_1/c, No. 14", "mass_density_g_cm3": 4.26, "m_tot_mub_per_cell": 0.0}

{"formula": "Dy2Lu", "functional": "GGA-PBE", "state": "optimized geometry", "lattice_angstrom": [[4.9399, 2.8520, 8.0668], [-4.9399, 2.8520, 8.0668], [0.0000, -5.7041, 8.0668]], "species": ["Dy", "Dy", "Dy", "Dy", "Lu", "Lu"], "fractional_positions": [[0.3750, 0.3750, 0.3750], [0.8750, 0.3750, 0.3750], [0.3750, 0.8750, 0.3750], [0.3750, 0.3750, 0.8750], [0.2500, 0.2500, 0.2500], [0.5000, 0.5000, 0.5000]], "ef_ev_per_atom": 2.5743, "volume_a3_per_atom": 113.65, "e_tot_ev_per_cell": -12.0, "sg": "Fd-3m, No. 227", "mass_density_g_cm3": 2.43, "relative_energy_ev_per_atom": 2.3172, "m_tot_mub_per_cell": 8.5}